Entry 1:
Density functional theory data (PBE-GGA) for a relaxed La3Ge2Ir2 crystal.

## Properties
Size of the total moment: 0.00 μB/atom
SG: Pbcm (57)
DFT formation energy: -82.1 kJ per mole of atoms

a = 5.7980 Å, b = 8.2567 Å, c = 13.6842 Å
α = 90.00°, β = 90.00°, γ = 90.00°
Sites, in units of the cell vectors:
La (0.1389, 0.2478, 0.2500)
La (0.1389, 0.2522, 0.7500)
La (0.3501, 0.6065, 0.0981)
La (0.3501, 0.6065, 0.4019)
La (0.3501, 0.8935, 0.5981)
La (0.3501, 0.8935, 0.9019)
La (0.6499, 0.1065, 0.0981)
La (0.6499, 0.1065, 0.4019)
La (0.6499, 0.3935, 0.5981)
La (0.6499, 0.3935, 0.9019)
La (0.8611, 0.7478, 0.2500)
La (0.8611, 0.7522, 0.7500)
Ge (0.1435, 0.2500, 0.0000)
Ge (0.1435, 0.2500, 0.5000)
Ge (0.3530, 0.6028, 0.7500)
Ge (0.3530, 0.8972, 0.2500)
Ge (0.6470, 0.1028, 0.7500)
Ge (0.6470, 0.3972, 0.2500)
Ge (0.8565, 0.7500, 0.0000)
Ge (0.8565, 0.7500, 0.5000)
Ir (0.1221, 0.5409, 0.5914)
Ir (0.1221, 0.5409, 0.9086)
Ir (0.1221, 0.9591, 0.0914)
Ir (0.1221, 0.9591, 0.4086)
Ir (0.8779, 0.0409, 0.5914)
Ir (0.8779, 0.0409, 0.9086)
Ir (0.8779, 0.4591, 0.0914)
Ir (0.8779, 0.4591, 0.4086)



Entry 2:
Density functional theory data (PBE-GGA) for a relaxed LaLuRh crystal.

## Properties
Size of the total moment: 0.00 μB/atom
SG: F-43m (216)
Polymorph energy (0 for the lowest one): 0.009 eV/atom
DFT formation energy: -51.1 kJ per mole of atoms

a = 4.8879 Å, b = 4.8879 Å, c = 4.8879 Å
α = 60.00°, β = 60.00°, γ = 60.00°
Sites, in units of the cell vectors:
La (0.0000, 0.0000, 0.0000)
Lu (0.5000, 0.5000, 0.5000)
Rh (0.2500, 0.2500, 0.2500)



Entry 3:
Density functional theory data (PBE-GGA) for a relaxed Cs2K3Na3 crystal.

## Properties
Size of the total moment: 0.00 μB/atom
SG: P-62m (189)
DFT formation energy: 4.7 kJ per mole of atoms

a = 11.6525 Å, b = 11.6525 Å, c = 4.5224 Å
α = 90.00°, β = 90.00°, γ = 120.00°
Sites, in units of the cell vectors:
Cs (0.3333, 0.6667, 0.0000)
Cs (0.6667, 0.3333, 0.0000)
K (0.0000, 0.7688, 0.0000)
K (0.2312, 0.2312, 0.0000)
K (0.7688, 0.0000, 0.0000)
Na (0.0000, 0.3572, 0.5000)
Na (0.3572, 0.0000, 0.5000)
Na (0.6428, 0.6428, 0.5000)



The calculation returns the following DOS at the Fermi energy values, one per record and in order: 22.632, 3.558, 5.477 states/eV per cell.